A geometry-optimized CsEr4Te6 structure, computed with PBE-GGA.

Summary:
- space group = Cmcm
- raw total energy (eV/atom) = -4.7480
- uncorrected formation energy (meV per atom) = -1298

a = 7.6567 Å, b = 7.6567 Å, c = 23.3801 Å
α = 90.00°, β = 90.00°, γ = 146.37°
With the nearest neighbours (Å) after each atom.
Fractional positions:
Cs1 0.1632 0.8368 0.7500  6 Te 3.67-3.70
Cs2 0.8368 0.1632 0.2500  6 Te 3.67-3.70
Er1 0.0935 0.9065 0.1286  5 Te 2.91-3.18
Er2 0.0935 0.9065 0.3714  5 Te 2.91-3.18
Er3 0.3657 0.6343 0.0377  6 Te 2.95-3.15
Er4 0.3657 0.6343 0.4623  6 Te 2.95-3.15
Er5 0.6343 0.3657 0.5377  6 Te 2.95-3.15
Er6 0.6343 0.3657 0.9623  6 Te 2.95-3.15
Er7 0.9065 0.0935 0.6286  5 Te 2.91-3.18
Er8 0.9065 0.0935 0.8714  5 Te 2.91-3.18
Te1 0.0000 0.0000 0.0000  6 Er 3.09-3.30
Te2 0.0000 0.0000 0.5000  6 Er 3.09-3.30
Te3 0.1368 0.8632 0.2500  2 Er 2.91
Te4 0.2700 0.7300 0.5814  5 Er 3.12-3.18
Te5 0.2700 0.7300 0.9186  5 Er 3.12-3.18
Te6 0.4599 0.5401 0.1494  3 Er 2.95-3.00
Te7 0.4599 0.5401 0.3506  3 Er 2.95-3.00
Te8 0.5401 0.4599 0.6494  3 Er 2.95-3.00
Te9 0.5401 0.4599 0.8506  3 Er 2.95-3.00
Te10 0.7300 0.2700 0.0814  5 Er 3.12-3.18
Te11 0.7300 0.2700 0.4186  5 Er 3.12-3.18
Te12 0.8632 0.1368 0.7500  2 Er 2.91